Entry 1:
Entry from Alexandria via LeMat-Bulk: a relaxed Y5Al2Tl2 crystal (GGA-PBE).

* ΔH_f (0 K): -0.37 eV per atom
* magnetization: 0.00 μB/f.u.

Cell lengths 8.992, 8.992, 7.812 Å; angles 90.00, 90.00, 52.39 degrees
Positions (direct):
Y (0.000, 0.000, 0.000)
Y (0.054, 0.683, 0.677)
Y (0.183, 0.554, 0.177)
Y (0.317, 0.946, 0.677)
Y (0.446, 0.817, 0.177)
Y (0.500, 0.500, 0.500)
Y (0.554, 0.183, 0.823)
Y (0.683, 0.054, 0.323)
Y (0.817, 0.446, 0.823)
Y (0.946, 0.317, 0.323)
Al (0.117, 0.883, 0.381)
Al (0.383, 0.617, 0.881)
Al (0.617, 0.383, 0.119)
Al (0.883, 0.117, 0.619)
Tl (0.218, 0.218, 0.000)
Tl (0.282, 0.282, 0.500)
Tl (0.718, 0.718, 0.500)
Tl (0.782, 0.782, 0.000)



Entry 2:
Entry from Alexandria via LeMat-Bulk: a relaxed Ag2SnBiSe4 crystal (GGA-PBE).

* formation energy without anion corrections: -0.22 eV/atom
* magnetization: 0.00 μB/f.u.
* energy above the most stable polymorph in this dataset: 0.0 meV/atom

Cell lengths 13.702, 13.702, 13.702 Å; angles 17.33, 17.33, 17.33 degrees
Positions (direct):
Ag (0.000, 0.000, 0.000)
Ag (0.265, 0.265, 0.265)
Sn (0.750, 0.750, 0.750)
Bi (0.511, 0.511, 0.511)
Se (0.132, 0.132, 0.132)
Se (0.377, 0.377, 0.377)
Se (0.632, 0.632, 0.632)
Se (0.887, 0.887, 0.887)



Entry 3:
Entry from Alexandria via LeMat-Bulk: a relaxed CsCd3Te crystal (GGA-PBE).

* formation energy without anion corrections: 0.14 eV/atom
* magnetization: 0.00 μB/f.u.
* energy above the most stable polymorph in this dataset: 0.0 meV/atom

Cell lengths 6.093, 6.093, 6.093 Å; angles 90.00, 90.00, 90.00 degrees
Positions (direct):
Cs (0.000, 0.000, 0.000)
Cd (0.000, 0.500, 0.500)
Cd (0.500, 0.000, 0.500)
Cd (0.500, 0.500, 0.000)
Te (0.500, 0.500, 0.500)



Entry 4:
Entry from Alexandria via LeMat-Bulk: a relaxed Zn9PdRu2 crystal (GGA-PBE).

* ΔH_f (0 K): -0.19 eV per atom
* magnetization: 0.00 μB/f.u.

Cell lengths 3.818, 3.818, 11.591 Å; angles 90.00, 90.00, 90.00 degrees
Positions (direct):
Zn (0.000, 0.000, 0.000)
Zn (0.000, 0.000, 0.332)
Zn (0.000, 0.000, 0.668)
Zn (0.000, 0.500, 0.171)
Zn (0.000, 0.500, 0.500)
Zn (0.000, 0.500, 0.829)
Zn (0.500, 0.000, 0.171)
Zn (0.500, 0.000, 0.500)
Zn (0.500, 0.000, 0.829)
Pd (0.500, 0.500, 0.000)
Ru (0.500, 0.500, 0.339)
Ru (0.500, 0.500, 0.661)